Material: InPbClO2
Method: DFT, PBE
State: optimized geometry

Symmetry ... P2_1/m
Mass density ... 5.57 g/cm³
Calculated total energy ... -24.8 eV per formula unit
Magnetization ... 0.00 μB per formula unit
Crystal system ... monoclinic
D(E_F) ... 0.0 states/eV per cell

abc: 4.134 6.959 8.088
angles: 93.47 90.00 90.00
Element x y z (fractional)
Pb: 0.750 0.195 0.617
Pb: 0.250 0.805 0.383
O: 0.750 0.978 0.375
O: 0.250 0.984 0.120
O: 0.250 0.022 0.625
O: 0.750 0.016 0.880
In: 0.750 0.097 0.141
In: 0.250 0.903 0.859
Cl: 0.750 0.441 0.215
Cl: 0.250 0.559 0.785

---

Material: InS2ClO
Method: DFT, PBE
State: optimized geometry

Symmetry ... P4/mmm
Mass density ... 3.97 g/cm³
Magnetization ... 0.21 μB per formula unit
E above lowest polymorph ... 0.0 meV/atom
Crystal system ... tetragonal
D(E_F) ... 3.0 states/eV per cell

abc: 3.998 3.998 6.034
angles: 90.00 90.00 90.00
Each line ends with the local moment (μB).
Element x y z (fractional)
O: 0.000 0.000 0.000  0.01
S: 0.500 0.000 0.000  0.07
S: 0.000 0.500 0.000  0.07
In: 0.500 0.500 0.500  -0.01
Cl: 0.000 0.000 0.500  -0.01

---

Material: InS2ClO
Method: DFT, PBE
State: optimized geometry

Symmetry ... P4/mmm
Mass density ... 2.74 g/cm³
Magnetization ... 4.04 μB per formula unit
E above lowest polymorph ... 537.4 meV/atom
Crystal system ... tetragonal
D(E_F) ... 6.0 states/eV per cell

abc: 5.203 5.203 5.157
angles: 90.00 90.00 90.00
Each line ends with the local moment (μB).
Element x y z (fractional)
S: 0.500 0.000 0.000  0.66
S: 0.000 0.500 0.000  0.66
In: 0.000 0.000 0.000  -0.03
Cl: 0.000 0.000 0.500  0.08
O: 0.500 0.500 0.500  1.49

---

Material: InSeClO4
Method: DFT, PBE
State: optimized geometry

Symmetry ... C2/m
Mass density ... 4.52 g/cm³
Calculated total energy ... -33.5 eV per formula unit
Magnetization ... 0.00 μB per formula unit
Crystal system ... monoclinic

abc: 5.972 5.972 6.578
angles: 78.05 78.05 71.76
Element x y z (fractional)
O: 0.502 0.862 0.872
O: 0.463 0.463 0.731
O: 0.138 0.498 0.128
O: 0.498 0.138 0.128
O: 0.537 0.537 0.269
O: 0.740 0.740 0.485
O: 0.862 0.502 0.872
O: 0.260 0.260 0.515
Cl: 0.021 0.021 0.237
Cl: 0.979 0.979 0.763
Se: 0.366 0.366 0.274
Se: 0.634 0.634 0.726
In: 0.787 0.787 0.118
In: 0.213 0.213 0.882

---

Material: Sr2InCl2O2
Method: DFT, PBE
State: optimized geometry

Symmetry ... I4/mmm
Mass density ... 4.29 g/cm³
Calculated total energy ... -33.9 eV per formula unit
Magnetization ... 0.00 μB per formula unit
Crystal system ... tetragonal
D(E_F) ... 1.9 states/eV per cell

abc: 4.440 4.440 8.334
angles: 105.45 105.45 90.00
Element x y z (fractional)
O: 0.000 0.500 0.000
O: 0.500 0.000 0.000
Cl: 0.807 0.807 0.614
Cl: 0.193 0.193 0.386
Sr: 0.610 0.610 0.220
Sr: 0.390 0.390 0.780
In: 0.000 0.000 0.000

---

Material: SrInClO2
Method: DFT, PBE
State: optimized geometry

Symmetry ... P2_1/m
Mass density ... 3.84 g/cm³
Calculated total energy ... -26.3 eV per formula unit
Magnetization ... 0.00 μB per formula unit
Crystal system ... monoclinic
D(E_F) ... 0.0 states/eV per cell

abc: 4.207 6.766 8.398
angles: 102.33 90.00 90.00
Element x y z (fractional)
Cl: 0.250 0.562 0.709
Cl: 0.750 0.438 0.291
Sr: 0.750 0.211 0.625
Sr: 0.250 0.789 0.375
O: 0.250 0.950 0.103
O: 0.750 0.050 0.897
O: 0.750 0.965 0.366
O: 0.250 0.035 0.634
In: 0.750 0.057 0.150
In: 0.250 0.943 0.850